# 1
VASP calculation (PBE) on Y2Ru after structural relaxation.

a b c (Å): 6.781 6.781 6.781
angles (deg): 90.00 90.00 90.00
Space group Fm-3m (No. 225)
Asymmetric unit:
Y: 0.250 0.250 0.250
Ru: 0.000 0.000 0.000

## Properties
Its density of states at the Fermi level is 5.9 states/eV per cell. For the energy relative to the elements, the calculation gives -72 kJ/mol of formula units. The calculated total energy comes out at -91.8 eV/cell. As for the crystal system: cubic.

# 2
VASP calculation (PBE) on TbDySiNi after structural relaxation.

a b c (Å): 6.927 6.927 6.927
angles (deg): 90.00 90.00 90.00
Space group F-43m (No. 216)
Asymmetric unit:
Tb: 0.000 0.000 0.000
Dy: 0.000 0.000 0.500
Si: 0.250 0.250 0.750
Ni: 0.250 0.250 0.250

## Properties
Its density of states at the Fermi level is 6.7 states/eV per cell. The calculation puts the distance to the lowest polymorph of the same formula at 166 meV per atom. As for the formation energy from raw total energies: -0.467 eV per atom. The calculated total energy comes out at -89.2 eV/cell. As for the crystal system: cubic.

# 3
VASP calculation (PBE) on CaBrO3 after structural relaxation.

a b c (Å): 6.184 6.551 8.516
angles (deg): 90.00 113.44 90.00
Space group P2_1/c (No. 14)
Asymmetric unit:
Ca: 0.206 0.146 0.209
Br: 0.208 0.648 0.148
O: 0.050 0.160 0.900
O: 0.140 0.623 0.930
O: 0.442 0.056 0.724

## Properties
Its density of states at the Fermi level is 2.0 states/eV per cell. As for the formation energy from raw total energies: -0.974 eV per atom. The calculated total energy comes out at -93.7 eV/cell. As for the crystal system: monoclinic.

# 4
VASP calculation (PBE) on Er5AgTe5 after structural relaxation.

a b c (Å): 13.592 6.113 8.556
angles (deg): 90.00 108.68 90.00
Space group C2/m (No. 12)
Asymmetric unit:
Er: 0.000 0.000 0.000
Er: 0.161 0.500 0.328
Er: 0.162 0.500 0.836
Ag: 0.000 0.500 0.000
Te: 0.000 0.500 0.500
Te: 0.165 0.000 0.827
Te: 0.172 0.000 0.336

## Properties
Its density of states at the Fermi level is 18.0 states/eV per cell. As for the formation energy from raw total energies: -1.089 eV per atom. The calculated total energy comes out at -106.7 eV/cell. As for the crystal system: monoclinic.

# 5
VASP calculation (PBE) on TiTe3Ir after structural relaxation.

a b c (Å): 5.204 5.204 5.204
angles (deg): 90.00 90.00 90.00
Space group Pm-3m (No. 221)
Asymmetric unit:
Ti: 0.000 0.000 0.000
Te: 0.000 0.500 0.500
Ir: 0.500 0.500 0.500

## Properties
Its density of states at the Fermi level is 6.4 states/eV per cell. The calculation puts the distance to the lowest polymorph of the same formula at 0 meV per atom. As for the formation energy from raw total energies: 0.677 eV per atom. The calculated total energy comes out at -22.8 eV/cell. As for the crystal system: cubic.

# 6
VASP calculation (PBE) on CePm2Ge6 after structural relaxation.

a b c (Å): 4.035 8.173 13.409
angles (deg): 90.00 90.00 90.00
Space group Immm (No. 71)
Asymmetric unit:
Ce: 0.000 0.000 0.000
Pm: 0.000 0.500 0.128
Ge: 0.000 0.215 0.500
Ge: 0.000 0.281 0.310

## Properties
Its density of states at the Fermi level is 18.6 states/eV per cell. The calculation puts the distance to the lowest polymorph of the same formula at 155 meV per atom. For the energy relative to the elements, the calculation gives -360 kJ/mol of formula units. The calculated total energy comes out at -93.8 eV/cell. As for the crystal system: orthorhombic.